Here is a geometry-optimized BaGa2MoO6 structure from the Alexandria database. Energies are from PBE with a Hubbard U.

Output
The calculation puts the total magnetic moment at 2.00 μB per formula unit. The volume comes out at 568.4 Å³ per cell. The density of states at the Fermi level is 0.000 states/eV/atom. The total energy comes out at -255.786 eV per cell.

a b c (Å): 9.5571 10.5933 5.6424
angles (deg): 90.00 95.73 90.00
Closest atoms and distances in Å follow each position.
Space group C2/c (No. 15)
Asymmetric unit:
Ba 0.0000 0.0940 0.2500  6 O 2.55-2.81
Ga 0.1822 0.4099 0.2947  4 O 1.84-1.95
Mo 0.0000 0.2937 0.7500  6 O 1.98-2.20
O 0.0931 0.2975 0.0805  1 Ga 1.84, 1 Mo 1.98
O 0.1304 0.1386 0.6745  1 Ga 1.85
O 0.1501 0.4315 0.6284  2 Ga 1.93-1.95